BaCuTe | PBEsol | relaxed Values from VASP.

The structure in Quantum ESPRESSO input format:
```
&SYSTEM
  ibrav = 0, nat = 3, ntyp = 3
/
ATOMIC_SPECIES
Ba 137.33 Ba.upf
Cu 63.55 Cu.upf
Te 127.60 Te.upf
ATOMIC_POSITIONS crystal
Ba 0.000 0.000 0.000
Cu 0.709 0.709 0.291
Te 0.290 0.290 0.710
CELL_PARAMETERS angstrom
0.000 2.724 5.621
2.704 0.000 5.621
2.704 2.724 0.000
```

Calculated values
As for the energy above the most stable polymorph in this dataset: 50.0 kJ/mol of formula units.